Entry 1:
Density functional theory data (PBE-GGA) for a relaxed structure of TlCuB.

Lattice parameters (Å, degrees): 5.674 5.674 5.674 90.00 90.00 90.00
Space group F-43m (No. 216)
Unique sites:
Tl (0.000, 0.000, 0.000) x4
Cu (0.000, 0.000, 0.500) x4
B (0.250, 0.250, 0.750) x4

Energy above the most stable polymorph in this dataset = 0.000 kcal/mol of atoms

Entry 2:
Density functional theory data (PBE-GGA) for a relaxed structure of TlCuB4.

Lattice parameters (Å, degrees): 3.0491 3.0491 8.5391 90.00 90.00 120.00
Space group P6/mmm (No. 191)
Unique sites:
Tl (0.0000, 0.0000, 0.0000) x1
Cu (0.0000, 0.0000, 0.5000) x1
B (0.3333, 0.6667, 0.3180) x4

Energy above the most stable polymorph in this dataset = 0.000 kcal/mol of atoms

Entry 3:
Density functional theory data (PBE-GGA) for a relaxed structure of TmCuB4.

Lattice parameters (Å, degrees): 3.151 5.261 7.444 90.00 90.00 90.00
Space group Immm (No. 71)
Unique sites:
Tm (0.000, 0.000, 0.000) x2
Cu (0.000, 0.000, 0.500) x2
B (0.000, 0.322, 0.261) x8

Energy above the most stable polymorph in this dataset = 0.321 kcal/mol of atoms

Entry 4:
Density functional theory data (PBE-GGA) for a relaxed structure of TmCuB4.

Lattice parameters (Å, degrees): 3.1790 3.1790 6.5829 90.00 90.00 120.00
Space group P6/mmm (No. 191)
Unique sites:
Tm (0.0000, 0.0000, 0.0000) x1
Cu (0.0000, 0.0000, 0.5000) x1
B (0.3333, 0.6667, 0.2778) x4

Energy above the most stable polymorph in this dataset = 0.000 kcal/mol of atoms

Entry 5:
Density functional theory data (PBE-GGA) for a relaxed structure of UCuB.

Lattice parameters (Å, degrees): 5.878 5.878 5.878 90.00 90.00 90.00
Space group F-43m (No. 216)
Unique sites:
U (0.000, 0.000, 0.000) x4
Cu (0.250, 0.250, 0.750) x4
B (0.000, 0.000, 0.500) x4

Energy above the most stable polymorph in this dataset = 10.019 kcal/mol of atoms

Entry 6:
Density functional theory data (PBE-GGA) for a relaxed structure of UCuB.

Lattice parameters (Å, degrees): 5.786 5.786 5.786 90.00 90.00 90.00
Space group F-43m (No. 216)
Unique sites:
U (0.000, 0.000, 0.000) x4
Cu (0.000, 0.000, 0.500) x4
B (0.250, 0.250, 0.750) x4

Energy above the most stable polymorph in this dataset = 0.000 kcal/mol of atoms

Entry 7:
Density functional theory data (PBE-GGA) for a relaxed structure of UCuB.

Lattice parameters (Å, degrees): 5.975 5.975 5.975 90.00 90.00 90.00
Space group F-43m (No. 216)
Unique sites:
U (0.000, 0.000, 0.000) x4
Cu (0.250, 0.250, 0.250) x4
B (0.250, 0.250, 0.750) x4

Energy above the most stable polymorph in this dataset = 17.692 kcal/mol of atoms

Entry 8:
Density functional theory data (PBE-GGA) for a relaxed structure of CuBW2.

Lattice parameters (Å, degrees): 5.981 5.981 5.981 90.00 90.00 90.00
Space group F-43m (No. 216)
Unique sites:
Cu (0.000, 0.000, 0.000) x4
B (0.250, 0.250, 0.750) x4
W (0.000, 0.000, 0.500) x4
W (0.250, 0.250, 0.250) x4

Energy above the most stable polymorph in this dataset = 17.815 kcal/mol of atoms